Compound: ReIF3
Source: Alexandria
Functional: GGA-PBE
Structure: optimized geometry

Computed properties:
E above lowest polymorph = 1.838 eV per atom
Electronic total energy = -3.47 eV per atom
Space-group type = Pm-3m, No. 221
Volume = 22.0 Å³ per atom
Formation energy (no corrections) = 0.455 eV/atom

a b c (Å): 4.7950 4.7950 4.7950
angles (deg): 90.00 90.00 90.00
Last column: magnetic moment on the atom in μB.
Element x y z (fractional)
I 0.0000 0.0000 0.0000  0.01
Re 0.5000 0.5000 0.5000  4.54
F 0.0000 0.5000 0.0000  0.05
F 0.0000 0.0000 0.5000  0.03
F 0.5000 0.0000 0.0000  0.03